# 1
Computed, not measured: a relaxed CdPtS2 crystal at the PBE level of DFT.

Structure (POSCAR):
```
CdPtS2
1.0
3.019 3.784 7.223
5.968 2.314 5.886
4.859 5.475 4.694
S Pt Cd
2 1 1
Direct
0.883 0.883 0.883
0.117 0.117 0.117
0.500 0.500 0.500
0.000 0.000 0.000
```

Output
- Uncorrected formation energy: -18.70 kJ per mole of atoms


# 2
Computed, not measured: a relaxed Cd3PtS crystal at the PBE level of DFT.

Structure (POSCAR):
```
Cd3PtS
1.0
4.969 0.000 0.000
0.000 4.969 0.000
0.000 0.000 4.969
S Pt Cd
1 1 3
Direct
0.000 0.000 0.000
0.500 0.500 0.500
0.000 0.500 0.000
0.000 0.000 0.500
0.500 0.000 0.000
```

Output
- Uncorrected formation energy: 50.84 kJ per mole of atoms
- E above lowest polymorph: 313 meV per atom


# 3
Computed, not measured: a relaxed CdPt2S crystal at the PBE level of DFT.

Structure (POSCAR):
```
CdPt2S
1.0
4.897 0.000 0.000
0.000 4.897 0.000
2.449 2.449 7.238
S Pt Cd
2 4 2
Direct
0.500 0.500 0.000
0.250 0.750 0.500
0.507 0.125 0.250
0.243 0.625 0.250
0.375 0.493 0.750
0.875 0.757 0.750
0.000 0.000 0.000
0.750 0.250 0.500
```

Output
- Uncorrected formation energy: -8.78 kJ per mole of atoms


# 4
Computed, not measured: a relaxed ScCdPt2S crystal at the PBE level of DFT.

Structure (POSCAR):
```
ScCdPt2S
1.0
-3.584 0.206 3.455
3.222 -0.822 3.391
0.745 4.903 0.480
Sc S Pt Cd
1 1 2 1
Direct
0.500 0.500 0.500
0.000 0.500 0.000
0.000 0.000 0.500
0.500 0.000 0.000
0.000 0.000 0.000
```

Output
- Uncorrected formation energy: 54.21 kJ per mole of atoms


Asked for uncorrected energy across the records above, the calculation gives -15.99 -10.28 -34.98 -20.65 eV/cell in order.